Ca2WSe: relaxed, GGA-PBE.

Lattice parameters (Å, degrees): 5.163 5.163 5.698 76.49 76.49 38.69
Atoms (fractional coordinates):
Ca 0.985 0.985 0.013
Ca 0.515 0.515 0.487
Se 0.250 0.250 0.250
W 0.750 0.750 0.750

The value obtained for the theoretical density is 6191 kg/m³. For the energy relative to the elements, uncorrected, the calculation gives 0.481 eV per atom. As for the uncorrected energy: -4.629 eV/atom.